Version a
## Fe2OsCl (PBE)

Data for Fe2OsCl after structural relaxation.

Geometry as CIF:
```
data_Fe2OsCl
_chemical_formula_sum 'Fe2 Os1 Cl1'
_symmetry_space_group_name_H-M 'P 4 m m'
_symmetry_Int_Tables_number 99
_symmetry_space_group_name_Hall 'P 4 -2'
_cell_length_a 2.828
_cell_length_b 2.828
_cell_length_c 8.010
_cell_angle_alpha 90.00
_cell_angle_beta 90.00
_cell_angle_gamma 90.00
loop_
_atom_site_label
_atom_site_type_symbol
_atom_site_fract_x
_atom_site_fract_y
_atom_site_fract_z
Fe1 Fe 0.000 0.000 0.000
Fe2 Fe 0.500 0.500 0.219
Os1 Os 0.000 0.000 0.396
Cl1 Cl 0.500 0.500 0.812
```

Summary:
- total magnetic moment (μB/f.u.) = 5.62

***

Version b
## Fe2OsCl (PBE)

Data for Fe2OsCl after structural relaxation.

Geometry as CIF:
```
data_Fe2OsCl
_chemical_formula_sum 'Fe4 Os2 Cl2'
_symmetry_space_group_name_H-M 'I 4/m m m'
_symmetry_Int_Tables_number 139
_symmetry_space_group_name_Hall '-I 4 2'
_cell_length_a 3.823
_cell_length_b 3.823
_cell_length_c 7.794
_cell_angle_alpha 90.00
_cell_angle_beta 90.00
_cell_angle_gamma 90.00
loop_
_atom_site_label
_atom_site_type_symbol
_atom_site_fract_x
_atom_site_fract_y
_atom_site_fract_z
Fe1 Fe 0.000 0.500 0.250
Os1 Os 0.000 0.000 0.000
Cl1 Cl 0.000 0.000 0.500
```

Summary:
- total magnetic moment (μB/f.u.) = 6.72

***

Going by the energies, version a is most stable and the next is 588 meV/atom up.

***

Version a
## Fe2OsCl (PBE)

Data for Fe2OsCl after structural relaxation.

Geometry as CIF:
```
data_Fe2OsCl
_chemical_formula_sum 'Fe4 Os2 Cl2'
_symmetry_space_group_name_H-M 'I m m m'
_symmetry_Int_Tables_number 71
_symmetry_space_group_name_Hall '-I 2 2'
_cell_length_a 2.785
_cell_length_b 4.428
_cell_length_c 8.642
_cell_angle_alpha 90.00
_cell_angle_beta 90.00
_cell_angle_gamma 90.00
loop_
_atom_site_label
_atom_site_type_symbol
_atom_site_fract_x
_atom_site_fract_y
_atom_site_fract_z
Fe1 Fe 0.000 0.000 0.237
Os1 Os 0.000 0.500 0.000
Cl1 Cl 0.000 0.500 0.500
```

Summary:
- total magnetic moment (μB/f.u.) = 5.38

***

Version b
## Fe2OsCl (PBE)

Data for Fe2OsCl after structural relaxation.

Geometry as CIF:
```
data_Fe2OsCl
_chemical_formula_sum 'Fe2 Os1 Cl1'
_symmetry_space_group_name_H-M 'P m m m'
_symmetry_Int_Tables_number 47
_symmetry_space_group_name_Hall '-P 2 2'
_cell_length_a 2.805
_cell_length_b 2.849
_cell_length_c 7.296
_cell_angle_alpha 90.00
_cell_angle_beta 90.00
_cell_angle_gamma 90.00
loop_
_atom_site_label
_atom_site_type_symbol
_atom_site_fract_x
_atom_site_fract_y
_atom_site_fract_z
Fe1 Fe 0.000 0.000 0.229
Os1 Os 0.500 0.500 0.000
Cl1 Cl 0.500 0.000 0.500
```

Summary:
- total magnetic moment (μB/f.u.) = 5.18

***

Going by the energies, version b is most stable and the next is 542 meV/atom up.

***

Version a
## Fe2OsCl (PBE)

Data for Fe2OsCl after structural relaxation.

Geometry as CIF:
```
data_Fe2OsCl
_chemical_formula_sum 'Fe4 Os2 Cl2'
_symmetry_space_group_name_H-M 'I -4 m 2'
_symmetry_Int_Tables_number 119
_symmetry_space_group_name_Hall 'I -4 -2'
_cell_length_a 3.623
_cell_length_b 3.623
_cell_length_c 8.899
_cell_angle_alpha 90.00
_cell_angle_beta 90.00
_cell_angle_gamma 90.00
loop_
_atom_site_label
_atom_site_type_symbol
_atom_site_fract_x
_atom_site_fract_y
_atom_site_fract_z
Fe1 Fe 0.000 0.000 0.000
Fe2 Fe 0.000 0.500 0.250
Os1 Os 0.000 0.500 0.750
Cl1 Cl 0.000 0.000 0.500
```

Summary:
- total magnetic moment (μB/f.u.) = 7.36

***

Version b
## Fe2OsCl (PBE)

Data for Fe2OsCl after structural relaxation.

Geometry as CIF:
```
data_Fe2OsCl
_chemical_formula_sum 'Fe8 Os4 Cl4'
_symmetry_space_group_name_H-M 'F m -3 m'
_symmetry_Int_Tables_number 225
_symmetry_space_group_name_Hall '-F 4 2 3'
_cell_length_a 6.001
_cell_length_b 6.001
_cell_length_c 6.001
_cell_angle_alpha 90.00
_cell_angle_beta 90.00
_cell_angle_gamma 90.00
loop_
_atom_site_label
_atom_site_type_symbol
_atom_site_fract_x
_atom_site_fract_y
_atom_site_fract_z
Fe1 Fe 0.250 0.250 0.250
Os1 Os 0.000 0.000 0.000
Cl1 Cl 0.000 0.000 0.500
```

Summary:
- total magnetic moment (μB/f.u.) = 3.67

***

Version c
## Fe2OsCl (PBE)

Data for Fe2OsCl after structural relaxation.

Geometry as CIF:
```
data_Fe2OsCl
_chemical_formula_sum 'Fe2 Os1 Cl1'
_symmetry_space_group_name_H-M 'P m m m'
_symmetry_Int_Tables_number 47
_symmetry_space_group_name_Hall '-P 2 2'
_cell_length_a 2.807
_cell_length_b 4.397
_cell_length_c 4.454
_cell_angle_alpha 90.00
_cell_angle_beta 90.00
_cell_angle_gamma 90.00
loop_
_atom_site_label
_atom_site_type_symbol
_atom_site_fract_x
_atom_site_fract_y
_atom_site_fract_z
Fe1 Fe 0.000 0.000 0.000
Fe2 Fe 0.500 0.500 0.000
Os1 Os 0.000 0.500 0.500
Cl1 Cl 0.500 0.000 0.500
```

Summary:
- total magnetic moment (μB/f.u.) = 5.96

***

Version d
## Fe2OsCl (PBE)

Data for Fe2OsCl after structural relaxation.

Geometry as CIF:
```
data_Fe2OsCl
_chemical_formula_sum 'Fe6 Os3 Cl3'
_symmetry_space_group_name_H-M 'R 3 m'
_symmetry_Int_Tables_number 160
_symmetry_space_group_name_Hall 'R 3 -2"'
_cell_length_a 2.8118
_cell_length_b 2.8118
_cell_length_c 27.8114
_cell_angle_alpha 90.00
_cell_angle_beta 90.00
_cell_angle_gamma 120.00
loop_
_atom_site_label
_atom_site_type_symbol
_atom_site_fract_x
_atom_site_fract_y
_atom_site_fract_z
Fe1 Fe 0.0000 0.0000 0.0000
Fe2 Fe 0.0000 0.0000 0.2617
Os1 Os 0.0000 0.0000 0.5251
Cl1 Cl 0.0000 0.0000 0.7276
```

Summary:
- total magnetic moment (μB/f.u.) = 6.13

***

Going by the energies, version d is most stable and the next is 487 meV/atom up.

***

Version a
## Fe2OsCl (PBE)

Data for Fe2OsCl after structural relaxation.

Geometry as CIF:
```
data_Fe2OsCl
_chemical_formula_sum 'Fe4 Os2 Cl2'
_symmetry_space_group_name_H-M 'I m m 2'
_symmetry_Int_Tables_number 44
_symmetry_space_group_name_Hall 'I 2 -2'
_cell_length_a 2.768
_cell_length_b 4.486
_cell_length_c 9.043
_cell_angle_alpha 90.00
_cell_angle_beta 90.00
_cell_angle_gamma 90.00
loop_
_atom_site_label
_atom_site_type_symbol
_atom_site_fract_x
_atom_site_fract_y
_atom_site_fract_z
Fe1 Fe 0.000 0.000 0.000
Fe2 Fe 0.000 0.500 0.227
Os1 Os 0.000 0.000 0.482
Cl1 Cl 0.000 0.500 0.749
```

Summary:
- total magnetic moment (μB/f.u.) = 5.70

***

Version b
## Fe2OsCl (PBE)

Data for Fe2OsCl after structural relaxation.

Geometry as CIF:
```
data_Fe2OsCl
_chemical_formula_sum 'Fe2 Os1 Cl1'
_symmetry_space_group_name_H-M 'P 4/m m m'
_symmetry_Int_Tables_number 123
_symmetry_space_group_name_Hall '-P 4 2'
_cell_length_a 4.615
_cell_length_b 4.615
_cell_length_c 2.708
_cell_angle_alpha 90.00
_cell_angle_beta 90.00
_cell_angle_gamma 90.00
loop_
_atom_site_label
_atom_site_type_symbol
_atom_site_fract_x
_atom_site_fract_y
_atom_site_fract_z
Fe1 Fe 0.000 0.500 0.000
Os1 Os 0.000 0.000 0.500
Cl1 Cl 0.500 0.500 0.500
```

Summary:
- total magnetic moment (μB/f.u.) = 6.43

***

Going by the energies, version b is most stable and the next is 11 meV/atom up.